Computed, not measured: a relaxed structure of NaLi2PbF6 at the PBE-GGA level of DFT.

abc: 6.799 6.799 6.193
angles: 107.19 107.19 70.86
Sites, in units of the cell vectors:
Na  0.168  0.832  0.750
Na  0.832  0.168  0.250
Li  0.167  0.268  0.737
Li  0.268  0.167  0.237
Li  0.732  0.833  0.763
Li  0.833  0.732  0.263
Pb  0.334  0.666  0.250
Pb  0.666  0.334  0.750
F  0.047  0.197  0.952
F  0.111  0.585  0.395
F  0.197  0.047  0.452
F  0.310  0.491  0.859
F  0.415  0.889  0.105
F  0.491  0.310  0.359
F  0.509  0.690  0.641
F  0.585  0.111  0.895
F  0.690  0.509  0.141
F  0.803  0.953  0.548
F  0.889  0.415  0.605
F  0.953  0.803  0.048

Summary:
Raw formation energy in meV/atom: -2495
Symmetry: C2/c

***

Computed, not measured: a relaxed structure of NaLiPdF6 at the PBE-GGA level of DFT.

abc: 4.920 4.920 9.665
angles: 90.00 90.00 90.00
Sites, in units of the cell vectors:
Na  0.000  0.000  0.000
Na  0.500  0.500  0.500
Li  0.000  0.000  0.330
Li  0.500  0.500  0.830
Pd  0.000  0.000  0.664
Pd  0.500  0.500  0.164
F  0.180  0.180  0.509
F  0.195  0.195  0.811
F  0.219  0.219  0.172
F  0.281  0.719  0.672
F  0.305  0.695  0.311
F  0.320  0.680  0.009
F  0.680  0.320  0.009
F  0.695  0.305  0.311
F  0.719  0.281  0.672
F  0.781  0.781  0.172
F  0.805  0.805  0.811
F  0.820  0.820  0.509

Summary:
Raw formation energy in meV/atom: -2040
Symmetry: P4_2nm

***

Computed, not measured: a relaxed structure of NaLiPdF4 at the PBE-GGA level of DFT.

abc: 6.479 6.479 6.479
angles: 121.99 118.94 89.22
Sites, in units of the cell vectors:
Na  0.387  0.137  0.250
Na  0.613  0.863  0.750
Li  0.000  0.000  0.500
Li  0.000  0.500  0.000
Pd  0.000  0.500  0.500
Pd  0.500  0.500  0.000
F  0.200  0.735  0.465
F  0.229  0.244  0.515
F  0.229  0.265  0.965
F  0.229  0.715  0.985
F  0.771  0.285  0.015
F  0.771  0.735  0.035
F  0.771  0.756  0.485
F  0.800  0.265  0.535

Summary:
Raw formation energy in meV/atom: -2080
Symmetry: Imma

***

Number 1: volume 12.60 Å³/atom. Number 2: volume 13.00 Å³/atom. Number 3: volume 13.62 Å³/atom.